1.
K3Be2RhO6: relaxed, PBE-GGA.

## Properties
Crystal system = trigonal
Symmetry = P-3m1

abc: 5.4684 5.4684 6.7162
angles: 90.00 90.00 120.00
With the nearest neighbours (Å) after each atom.
Fractional coordinates of all 12 atoms:
K  0.0000  0.0000  0.0000  6 O 2.70
K  0.3333  0.6667  0.7412  1 Be 2.75, 6 O 2.77
K  0.6667  0.3333  0.2589  1 Be 2.75, 6 O 2.77
Be  0.3333  0.6667  0.3320  3 O 1.54
Be  0.6667  0.3333  0.6680  3 O 1.54
Rh  0.0000  0.0000  0.5000  6 O 2.01
O  0.1705  0.3411  0.3220  1 Be 1.54
O  0.1705  0.8295  0.3220  1 Be 1.54
O  0.3411  0.1705  0.6780  1 Be 1.54
O  0.6589  0.8295  0.3220  1 Be 1.54
O  0.8295  0.1705  0.6780  1 Be 1.54
O  0.8295  0.6589  0.6780  1 Be 1.54

***

2.
K2BeRhO4: relaxed, PBE-GGA.

## Properties
Crystal system = orthorhombic
Symmetry = Fddd

abc: 11.2794 10.0658 6.2321
angles: 84.08 62.58 33.34
With the nearest neighbours (Å) after each atom.
Fractional coordinates of all 16 atoms:
K  0.0518  0.0518  0.6982  6 O 2.95-3.15
K  0.3018  0.3018  0.9482  6 O 2.95-3.15
K  0.6982  0.6982  0.0518  6 O 2.95-3.15
K  0.9482  0.9482  0.3018  6 O 2.95-3.15
Be  0.3750  0.3750  0.3750  4 O 1.64
Be  0.6250  0.6250  0.6250  4 O 1.64
Rh  0.1250  0.1250  0.1250  4 O 1.93
Rh  0.8750  0.8750  0.8750  4 O 1.93
O  0.0400  0.6262  0.5453  1 Be 1.64
O  0.2884  0.5453  0.6262  1 Be 1.64
O  0.3738  0.9600  0.7116  1 Be 1.64
O  0.4547  0.7116  0.9600  1 Be 1.64
O  0.5453  0.2884  0.0400  1 Be 1.64
O  0.6262  0.0400  0.2884  1 Be 1.64
O  0.7116  0.4547  0.3738  1 Be 1.64
O  0.9600  0.3738  0.4547  1 Be 1.64

***

3.
K2BeSO6: relaxed, PBE-GGA.

## Properties
Crystal system = trigonal
Symmetry = P-3m1

abc: 5.8391 5.8391 4.5630
angles: 90.00 90.00 120.00
With the nearest neighbours (Å) after each atom.
Fractional coordinates of all 10 atoms:
K  0.3333  0.6667  0.2462  12 O 2.95-3.16
K  0.6667  0.3333  0.7538  12 O 2.95-3.16
Be  0.0000  0.0000  0.0000  6 O 1.83
S  0.0000  0.0000  0.5000  6 O 1.65
O  0.1297  0.2594  0.7208  1 S 1.65, 1 Be 1.83
O  0.1297  0.8703  0.7208  1 S 1.65, 1 Be 1.83
O  0.2594  0.1297  0.2792  1 S 1.65, 1 Be 1.83
O  0.7406  0.8703  0.7208  1 S 1.65, 1 Be 1.83
O  0.8703  0.1297  0.2792  1 S 1.65, 1 Be 1.83
O  0.8703  0.7406  0.2792  1 S 1.65, 1 Be 1.83

***

4.
KBeSO2: relaxed, PBE-GGA.

## Properties
Crystal system = tetragonal
Symmetry = P4/mmm

abc: 3.7450 3.7450 5.9949
angles: 90.00 90.00 90.00
With the nearest neighbours (Å) after each atom.
Fractional coordinates of all 5 atoms:
K  0.0000  0.0000  0.0000  4 S 2.65
Be  0.0000  0.0000  0.5000  4 O 1.87
S  0.5000  0.5000  0.0000  4 K 2.65
O  0.0000  0.5000  0.5000  2 Be 1.87
O  0.5000  0.0000  0.5000  2 Be 1.87

***

5.
K3Be2SbO6: relaxed, PBE-GGA.

## Properties
Crystal system = trigonal
Symmetry = P-3m1

abc: 5.4908 5.4908 6.8466
angles: 90.00 90.00 120.00
With the nearest neighbours (Å) after each atom.
Fractional coordinates of all 12 atoms:
K  0.0000  0.0000  0.0000  6 O 2.74
K  0.3333  0.6667  0.7456  6 O 2.78, 1 Be 2.83
K  0.6667  0.3333  0.2544  6 O 2.78, 1 Be 2.83
Be  0.3333  0.6667  0.3315  3 O 1.55
Be  0.6667  0.3333  0.6685  3 O 1.55
Sb  0.0000  0.0000  0.5000  6 O 2.02
O  0.1701  0.3401  0.3223  1 Be 1.55
O  0.1701  0.8299  0.3223  1 Be 1.55
O  0.3401  0.1701  0.6777  1 Be 1.55
O  0.6599  0.8299  0.3223  1 Be 1.55
O  0.8299  0.1701  0.6777  1 Be 1.55
O  0.8299  0.6599  0.6777  1 Be 1.55

***

6.
KBe4Sb3O12: relaxed, PBE-GGA.

## Properties
Crystal system = trigonal
Symmetry = R32

abc: 6.4301 6.4301 6.4301
angles: 104.88 104.88 104.88
With the nearest neighbours (Å) after each atom.
Fractional coordinates of all 20 atoms:
K  0.0000  0.0000  0.0000  6 O 2.59
Be  0.0622  0.5000  0.9378  3 O 1.52-1.62
Be  0.5000  0.5000  0.5000  3 O 1.57
Be  0.5000  0.9378  0.0622  3 O 1.52-1.62
Be  0.9378  0.0622  0.5000  3 O 1.52-1.62
Sb  0.0000  0.5522  0.4478  6 O 1.92-2.09
Sb  0.4478  0.0000  0.5522  6 O 1.92-2.09
Sb  0.5522  0.4478  0.0000  6 O 1.92-2.09
O  0.0168  0.6174  0.7615  1 Be 1.52
O  0.0971  0.9029  0.5000  1 Be 1.62
O  0.2385  0.3826  0.9832  1 Be 1.52
O  0.3458  0.6542  0.5000  1 Be 1.57
O  0.3826  0.9832  0.2385  1 Be 1.52
O  0.5000  0.0971  0.9029  1 Be 1.62
O  0.5000  0.3458  0.6542  1 Be 1.57
O  0.6174  0.7615  0.0168  1 Be 1.52
O  0.6542  0.5000  0.3458  1 Be 1.57
O  0.7615  0.0168  0.6174  1 Be 1.52
O  0.9029  0.5000  0.0971  1 Be 1.62
O  0.9832  0.2385  0.3826  1 Be 1.52

***

Computed E (eV/atom) in order:
-5.54; -5.46; -5.25; -3.85; -5.62; -6.29